{"formula": "AcTb5Dy2Ho", "functional": "GGA-PBE", "state": "relaxed", "lattice": [[-4.525, 4.525, 7.461], [4.525, -4.525, 7.461], [4.525, 4.525, -7.461]], "species": ["Ac", "Ac", "Tb", "Tb", "Tb", "Tb", "Tb", "Tb", "Tb", "Tb", "Tb", "Tb", "Dy", "Dy", "Dy", "Dy", "Ho", "Ho"], "fractional_positions": [[0.250, 0.250, 0.000], [0.750, 0.750, 0.000], [0.000, 0.000, 0.000], [0.075, 0.575, 0.904], [0.171, 0.075, 0.500], [0.329, 0.829, 0.904], [0.425, 0.329, 0.500], [0.500, 0.500, 0.000], [0.575, 0.671, 0.500], [0.671, 0.171, 0.096], [0.829, 0.925, 0.500], [0.925, 0.425, 0.096], [0.112, 0.388, 0.500], [0.388, 0.888, 0.275], [0.612, 0.112, 0.725], [0.888, 0.612, 0.500], [0.250, 0.750, 0.500], [0.750, 0.250, 0.500]], "delta_e_f_mev_per_atom": 284, "total_energy_ev_per_atom": -4.276, "spacegroup": "I4/mcm"}